AcPm5Nd3 | PBE | optimized geometry

Properties
space group: C2/m, No. 12
calculated total energy: -4.187 eV per atom
energy above the lowest structure with this stoichiometry: 364 meV per atom
N(E_F): 13.95 states/eV/f.u.
M_tot: 0.0 μB per formula unit

Cell: 8.673 8.673 14.160 Å, 57.96 57.96 84.20°
Positions (direct):
Ac: 0.999 0.999 0.749
Ac: 0.001 0.001 0.251
Pm: 0.950 0.447 0.410
Pm: 0.256 0.744 0.000
Pm: 0.652 0.652 0.088
Pm: 0.341 0.341 0.420
Pm: 0.659 0.659 0.580
Pm: 0.348 0.348 0.912
Pm: 0.447 0.950 0.410
Pm: 0.744 0.256 0.000
Pm: 0.050 0.553 0.590
Pm: 0.553 0.050 0.590
Nd: 0.669 0.669 0.829
Nd: 0.663 0.663 0.319
Nd: 0.000 0.000 0.000
Nd: 0.000 0.000 0.500
Nd: 0.331 0.331 0.171
Nd: 0.337 0.337 0.681

***

AcPm2Nd | PBE | optimized geometry

Properties
space group: P4/mmm, No. 123
calculated total energy: -4.563 eV per atom
energy above the lowest structure with this stoichiometry: 4 meV per atom
N(E_F): 6.72 states/eV/f.u.
M_tot: 0.0 μB per formula unit

Cell: 3.769 3.769 10.458 Å, 90.00 90.00 90.00°
Positions (direct):
Ac: 0.500 0.500 0.500
Nd: 0.500 0.500 0.000
Pm: 0.000 0.000 0.761
Pm: 0.000 0.000 0.239

***

Copy entry 1 word for word.
AcPm5Nd3 | PBE | optimized geometry

Properties
space group: C2/m, No. 12
calculated total energy: -4.187 eV per atom
energy above the lowest structure with this stoichiometry: 364 meV per atom
N(E_F): 13.95 states/eV/f.u.
M_tot: 0.0 μB per formula unit

Cell: 8.673 8.673 14.160 Å, 57.96 57.96 84.20°
Positions (direct):
Ac: 0.999 0.999 0.749
Ac: 0.001 0.001 0.251
Pm: 0.950 0.447 0.410
Pm: 0.256 0.744 0.000
Pm: 0.652 0.652 0.088
Pm: 0.341 0.341 0.420
Pm: 0.659 0.659 0.580
Pm: 0.348 0.348 0.912
Pm: 0.447 0.950 0.410
Pm: 0.744 0.256 0.000
Pm: 0.050 0.553 0.590
Pm: 0.553 0.050 0.590
Nd: 0.669 0.669 0.829
Nd: 0.663 0.663 0.319
Nd: 0.000 0.000 0.000
Nd: 0.000 0.000 0.500
Nd: 0.331 0.331 0.171
Nd: 0.337 0.337 0.681